[1]
# Zn2Ga2Hg

An optimized crystal structure of Zn2Ga2Hg (PBE, the Alexandria database).

abc: 4.239 5.555 4.910
angles: 104.98 115.57 90.00
Element x y z (fractional)
Hg: 0.000 0.000 0.000
Zn: 0.285 0.875 0.570
Zn: 0.715 0.125 0.430
Ga: 0.656 0.571 0.311
Ga: 0.344 0.429 0.689

Values from the calculation:
Total energy, eV for the cell shown: -8.52
Distance to the lowest polymorph of the same formula, eV/atom: 0.011
Energy of formation, eV per atom: 0.0764
Density, g/cm3: 7.83
Total moment, μB/atom: 0.000
Density of states at the Fermi level, states/eV/f.u.: 1.1
Crystal system: monoclinic



[2]
# Pr2NpGe3Pt4

An optimized crystal structure of Pr2NpGe3Pt4 (PBE, the Alexandria database).

abc: 4.351 4.351 11.101
angles: 90.00 90.00 90.00
Element x y z (fractional)
Pr: 0.500 0.000 0.226
Pr: 0.000 0.500 0.774
Ge: 0.000 0.000 0.500
Ge: 0.000 0.500 0.121
Ge: 0.500 0.000 0.879
Pt: 0.500 0.000 0.656
Pt: 0.000 0.000 0.000
Pt: 0.500 0.500 0.000
Pt: 0.000 0.500 0.344
Np: 0.500 0.500 0.500

Values from the calculation:
Total energy, eV for the cell shown: -68.60
Energy of formation, eV per atom: -0.8088
Density, g/cm3: 11.99
Total moment, μB/atom: 0.408
Density of states at the Fermi level, states/eV/f.u.: 11.7
Crystal system: tetragonal